Cs2KNa2: relaxed, PBE.

a = 19.067 Å, b = 4.635 Å, c = 8.369 Å
α = 90.00°, β = 102.61°, γ = 90.00°
Atoms (fractional coordinates):
Cs1 0.132 0.000 0.060
Cs2 0.368 0.500 0.940
Cs3 0.632 0.500 0.060
Cs4 0.868 0.000 0.940
K1 0.000 0.500 0.500
K2 0.500 0.000 0.500
Na1 0.192 0.000 0.584
Na2 0.308 0.500 0.416
Na3 0.692 0.500 0.584
Na4 0.808 0.000 0.416

Summary:
- Calculated volume: 72.18 Å³/atom
- Polymorph energy (0 for the lowest one): 23.6 meV/atom
- Energy: -1.044 eV per atom
- DFT formation energy: 0.045 eV/atom